Record 1
# CaBi

CaBi after structural relaxation (PBE, the Alexandria database).

The value obtained for the total magnetization is 0.40 μB per atom. The formation energy comes out at -0.16 eV per formula unit. The density of states at the Fermi level is 1.745 states/eV per atom.

It has space group Pm-3n (No. 223), with a = 8.959 Å, b = 8.959 Å, c = 8.959 Å, α = 90.00°, β = 90.00° and γ = 90.00°. The inequivalent atoms are Ca at (0.000, 0.250, 0.500) and Bi at (0.000, 0.500, 0.250).

Record 2
# CaBi

CaBi after structural relaxation (PBE, the Alexandria database).

The value obtained for the total magnetization is 0.00 μB per atom. The formation energy comes out at -0.94 eV per formula unit. The density of states at the Fermi level is 0.601 states/eV per atom.

It has space group P4/mmm (No. 123), with a = 12.948 Å, b = 12.948 Å, c = 3.664 Å, α = 90.00°, β = 90.00° and γ = 90.00°. The inequivalent atoms are Ca at (0.000, 0.357, 0.000), Ca at (0.282, 0.282, 0.500), Bi at (0.135, 0.135, 0.000) and Bi at (0.171, 0.500, 0.500).

Record 3
# CaBi

CaBi after structural relaxation (PBE, the Alexandria database).

The value obtained for the total magnetization is 0.00 μB per atom. The formation energy comes out at -0.52 eV per formula unit. The density of states at the Fermi level is 0.838 states/eV per atom.

It has space group I4/m (No. 87), with a = 13.150 Å, b = 13.150 Å, c = 4.135 Å, α = 90.00°, β = 90.00° and γ = 90.00°. The inequivalent atoms are Ca at (0.065, 0.666, 0.000) and Bi at (0.158, 0.231, 0.000).

Record 4
# CaBi5

CaBi5 after structural relaxation (PBE, the Alexandria database).

The value obtained for the total magnetization is 0.00 μB per atom. The formation energy comes out at -1.22 eV per formula unit. The density of states at the Fermi level is 0.442 states/eV per atom.

It has space group Cmmm (No. 65), with a = 4.845 Å, b = 16.593 Å, c = 4.720 Å, α = 90.00°, β = 90.00° and γ = 90.00°. The inequivalent atoms are Ca at (0.000, 0.000, 0.000), Bi at (0.000, 0.170, 0.500), Bi at (0.000, 0.347, 0.000) and Bi at (0.000, 0.500, 0.500).

Record 5
# CaBi3

CaBi3 after structural relaxation (PBE, the Alexandria database).

The value obtained for the total magnetization is 0.00 μB per atom. The formation energy comes out at -0.94 eV per formula unit. The density of states at the Fermi level is 0.757 states/eV per atom.

It has space group Fm-3m (No. 225), with a = 8.009 Å, b = 8.009 Å, c = 8.009 Å, α = 90.00°, β = 90.00° and γ = 90.00°. The inequivalent atoms are Ca at (0.000, 0.000, 0.000), Bi at (0.000, 0.000, 0.500) and Bi at (0.250, 0.250, 0.250).

Record 6
# Ca3Bi5

Ca3Bi5 after structural relaxation (PBE, the Alexandria database).

The value obtained for the total magnetization is 0.00 μB per atom. The formation energy comes out at -4.28 eV per formula unit. The density of states at the Fermi level is 0.464 states/eV per atom.

It has space group I-4m2 (No. 119), with a = 4.810 Å, b = 4.810 Å, c = 21.769 Å, α = 90.00°, β = 90.00° and γ = 90.00°. The inequivalent atoms are Ca at (0.000, 0.000, 0.000), Ca at (0.000, 0.500, 0.139), Bi at (0.000, 0.000, 0.257), Bi at (0.000, 0.000, 0.500) and Bi at (0.000, 0.500, 0.620).

Record 7
# CaBi3

CaBi3 after structural relaxation (PBE, the Alexandria database).

The value obtained for the total magnetization is 0.00 μB per atom. The formation energy comes out at -1.35 eV per formula unit. The density of states at the Fermi level is 0.579 states/eV per atom.

It has space group I4/mmm (No. 139), with a = 4.741 Å, b = 4.741 Å, c = 11.164 Å, α = 90.00°, β = 90.00° and γ = 90.00°. The inequivalent atoms are Ca at (0.000, 0.000, 0.000), Bi at (0.000, 0.000, 0.500) and Bi at (0.000, 0.500, 0.250).

Record 8
# CaBi

CaBi after structural relaxation (PBE, the Alexandria database).

The value obtained for the total magnetization is 0.52 μB per atom. The formation energy comes out at -0.15 eV per formula unit. The density of states at the Fermi level is 1.161 states/eV per atom.

It has space group I-43m (No. 217), with a = 10.059 Å, b = 10.059 Å, c = 10.059 Å, α = 90.00°, β = 90.00° and γ = 90.00°. The inequivalent atoms are Ca at (0.149, 0.149, 0.149) and Bi at (0.168, 0.168, 0.832).

Record 9
# CaBi3

CaBi3 after structural relaxation (PBE, the Alexandria database).

The value obtained for the total magnetization is 0.00 μB per atom. The formation energy comes out at -1.48 eV per formula unit. The density of states at the Fermi level is 0.599 states/eV per atom.

It has space group Cmcm (No. 63), with a = 4.717 Å, b = 23.490 Å, c = 4.694 Å, α = 90.00°, β = 90.00° and γ = 90.00°. The inequivalent atoms are Ca at (0.000, 0.069, 0.250), Bi at (0.000, 0.182, 0.750), Bi at (0.000, 0.319, 0.750) and Bi at (0.000, 0.449, 0.250).

Record 10
# CaBi

CaBi after structural relaxation (PBE, the Alexandria database).

The value obtained for the total magnetization is 0.00 μB per atom. The formation energy comes out at -1.44 eV per formula unit. The density of states at the Fermi level is 0.300 states/eV per atom.

It has space group Pmmm (No. 47), with a = 3.590 Å, b = 4.004 Å, c = 4.352 Å, α = 90.00°, β = 90.00° and γ = 90.00°. The inequivalent atoms are Ca at (0.000, 0.000, 0.000) and Bi at (0.500, 0.500, 0.500).

Record 11
# CaBi

CaBi after structural relaxation (PBE, the Alexandria database).

The value obtained for the total magnetization is 0.00 μB per atom. The formation energy comes out at -1.36 eV per formula unit.

It has space group P2_12_12_1 (No. 19), with a = 6.361 Å, b = 6.657 Å, c = 12.470 Å, α = 90.00°, β = 90.00° and γ = 90.00°. The inequivalent atoms are Ca at (0.115, 0.068, 0.474), Ca at (0.184, 0.643, 0.716), Bi at (0.128, 0.565, 0.453) and Bi at (0.177, 0.855, 0.226).

Record 12
# CaBi3

CaBi3 after structural relaxation (PBE, the Alexandria database).

The value obtained for the total magnetization is 0.00 μB per atom. The formation energy comes out at -1.53 eV per formula unit. The density of states at the Fermi level is 0.504 states/eV per atom.

It has space group Pm-3m (No. 221), with a = 4.998 Å, b = 4.998 Å, c = 4.998 Å, α = 90.00°, β = 90.00° and γ = 90.00°. The inequivalent atoms are Ca at (0.000, 0.000, 0.000) and Bi at (0.000, 0.500, 0.500).

no.,VASP energy (eV/cell)
1,-36.24
2,-54.57
3,-51.24
4,-45.25
5,-58.34
6,-59.38
7,-30.00
8,-48.28
9,-60.48
10,-7.33
11,-57.96
12,-15.18